This record from Alexandria describes an optimized crystal structure of CsBaCu2. The functional is PBE-GGA.

Values from the calculation:
As for the formation energy: 1.4 eV/f.u. As for the crystal system: cubic. Its calculated total energy is -2.401 eV per atom. Its relative energy among the computed polymorphs is 0.00 eV per formula unit.

CIF file:
```
data_CsBaCu2
_chemical_formula_sum 'Cs4 Ba4 Cu8'
_symmetry_space_group_name_H-M 'F m -3 m'
_symmetry_Int_Tables_number 225
_symmetry_space_group_name_Hall '-F 4 2 3'
_cell_length_a 8.146
_cell_length_b 8.146
_cell_length_c 8.146
_cell_angle_alpha 90.00
_cell_angle_beta 90.00
_cell_angle_gamma 90.00
loop_
_atom_site_label
_atom_site_type_symbol
_atom_site_fract_x
_atom_site_fract_y
_atom_site_fract_z
_atom_site_occupancy
Cs1 Cs 0.000 0.000 0.000 1
Ba1 Ba 0.000 0.000 0.500 1
Cu1 Cu 0.250 0.250 0.250 1
```